PmUMn2O6 | Alexandria via LeMat-Bulk | PBE with a Hubbard U | relaxed; symmetry = P4mm; DFT total energy = -8.32 eV per atom; ρ = 5.8 Mg/m³; volume = 169 Å³/cell; size of the total moment = 11.0 μB per formula unit
1.0
6.122 0.000 0.000
0.000 6.122 0.000
0.000 0.000 4.514
Pm U Mn O
1 1 2 6
Cartesian
0.000 0.000 0.000
3.061 3.061 0.288
0.000 3.061 1.436
3.061 0.000 1.436
0.000 0.000 2.363
1.592 1.592 0.620
1.592 4.530 0.620
3.061 3.061 2.666
4.530 1.592 0.620
4.530 4.530 0.620